Entry 1:
FeSb2TeAu | PBE | optimized geometry

Structure (POSCAR):
```
FeSb2TeAu
1.0
5.796 0.000 0.000
0.000 5.796 0.000
0.000 0.000 4.679
Fe Sb Te Au
1 2 1 1
direct
0.000 0.000 0.000 Fe
0.000 0.500 0.500 Sb
0.500 0.000 0.500 Sb
0.000 0.000 0.500 Te
0.500 0.500 0.000 Au
```

Computed properties:
* uncorrected formation energy: 1.11 eV/atom
* magnetization: 2.7 μB per cell
* offset from the most stable computed form: 0.653 eV/atom

Entry 2:
Fe2SbPd8 | PBE | optimized geometry

Structure (POSCAR):
```
Fe2SbPd8
1.0
3.613 -5.865 0.000
3.613 5.865 0.000
-1.841 0.000 4.217
Fe Sb Pd
2 1 8
direct
0.190 0.810 0.000 Fe
0.810 0.190 0.000 Fe
0.500 0.500 0.500 Sb
0.110 0.110 0.315 Pd
0.171 0.410 0.889 Pd
0.277 0.723 0.500 Pd
0.410 0.171 0.889 Pd
0.590 0.829 0.111 Pd
0.723 0.277 0.500 Pd
0.829 0.590 0.111 Pd
0.890 0.890 0.685 Pd
```

Computed properties:
* uncorrected formation energy: -0.04 eV/atom
* magnetization: 8.4 μB per cell
* offset from the most stable computed form: 0.155 eV/atom

- What is the uncorrected formation energy in the second record?
  -0.04 eV/atom

- Which value of uncorrected formation energy does entry 2 give?
  -0.04 eV/atom

- What is the formula in the second record?
  Fe2SbPd8

- What is the formula in the second record?
  Fe2SbPd8